The following is a PBE calculation of an optimized crystal structure of Ce2NdTlIr, from Alexandria.

Structure (extended XYZ):
```
5
Lattice="5.344 0.000 0.000 0.000 5.344 0.000 0.000 0.000 5.771" Properties=species:S:1:pos:R:3 pbc="T T T"
Ce 0.000 2.672 0.000
Ce 2.672 0.000 0.000
Nd 0.000 0.000 2.886
Tl 2.672 2.672 2.895
Ir 0.000 0.000 0.001
```

Values from the calculation:
E: -5.86 eV per atom
Mass density: 8.272 g/cm3
Volume: 32.96 Å³/atom
Space-group type: P4mm
Energy of formation from the pure elements: -0.286 eV/atom

The following is a PBE calculation of an optimized crystal structure of LiTc4Te, from Alexandria.

Structure (extended XYZ):
```
6
Lattice="0.000 3.692 3.692 3.692 0.000 3.692 3.692 3.692 0.000" Properties=species:S:1:pos:R:3 pbc="T T T"
Li 0.000 0.000 0.000
Tc 2.770 2.770 2.770
Tc 4.613 4.613 2.770
Tc 4.613 2.770 4.613
Tc 2.770 4.613 4.613
Te 5.537 5.537 5.537
```

Values from the calculation:
E: -7.27 eV per atom
Mass density: 8.690 g/cm3
Volume: 16.77 Å³/atom
Space-group type: F-43m
Formation energy from raw total energies: 487 meV per atom

> E of number 1 (Ce2NdTlIr)?

-5.86 eV per atom